No. 1
SrNiGe2 | GGA-PBEsol | relaxed

```
data_SrNiGe2
_symmetry_space_group_name_H-M 'C m c m'
_symmetry_Int_Tables_number 63
_symmetry_space_group_name_Hall '-C 2c 2'
_cell_length_a 4.345
_cell_length_b 17.010
_cell_length_c 4.163
_cell_angle_alpha 90.00
_cell_angle_beta 90.00
_cell_angle_gamma 90.00
loop_
_atom_site_label
_atom_site_type_symbol
_atom_site_fract_x
_atom_site_fract_y
_atom_site_fract_z
Sr1 Sr 0.000 0.108 0.250
Ni1 Ni 0.000 0.318 0.250
Ge1 Ge 0.000 0.250 0.750
Ge2 Ge 0.000 0.456 0.250
```

Formation energy in eV per formula unit: -2.28
Spin magnetization in μB/cell: 0.0
Total energy in eV for the cell shown: -80.620

---

No. 2
ZnCrMo3 | GGA-PBEsol | relaxed

```
data_ZnCrMo3
_symmetry_space_group_name_H-M 'P m -3 m'
_symmetry_Int_Tables_number 221
_symmetry_space_group_name_Hall '-P 4 2 3'
_cell_length_a 4.487
_cell_length_b 4.487
_cell_length_c 4.487
_cell_angle_alpha 90.00
_cell_angle_beta 90.00
_cell_angle_gamma 90.00
loop_
_atom_site_label
_atom_site_type_symbol
_atom_site_fract_x
_atom_site_fract_y
_atom_site_fract_z
Zn1 Zn 0.000 0.000 0.000
Cr1 Cr 0.500 0.500 0.500
Mo1 Mo 0.000 0.000 0.500
```

Formation energy in eV per formula unit: 9.72
Spin magnetization in μB/cell: 3.2
Total energy in eV for the cell shown: -37.410

---

No. 3
Br4Cl3 | GGA-PBEsol | relaxed

```
data_Br4Cl3
_symmetry_space_group_name_H-M 'P 6/m m m'
_symmetry_Int_Tables_number 191
_symmetry_space_group_name_Hall '-P 6 2'
_cell_length_a 6.7118
_cell_length_b 6.7118
_cell_length_c 4.6407
_cell_angle_alpha 90.00
_cell_angle_beta 90.00
_cell_angle_gamma 120.00
loop_
_atom_site_label
_atom_site_type_symbol
_atom_site_fract_x
_atom_site_fract_y
_atom_site_fract_z
Br1 Br 0.0000 0.0000 0.2492
Br2 Br 0.3333 0.6667 0.5000
Cl1 Cl 0.0000 0.5000 0.0000
```

Raw formation energy in eV/atom: 0.514
Spin magnetization in μB/cell: 0.0
Total energy in eV for the cell shown: -9.903

---

No. 4
Ca2LaAl | GGA-PBEsol | relaxed

```
data_Ca2LaAl
_symmetry_space_group_name_H-M 'I -4 2 d'
_symmetry_Int_Tables_number 122
_symmetry_space_group_name_Hall 'I -4 2bw'
_cell_length_a 8.972
_cell_length_b 8.972
_cell_length_c 6.615
_cell_angle_alpha 90.00
_cell_angle_beta 90.00
_cell_angle_gamma 90.00
loop_
_atom_site_label
_atom_site_type_symbol
_atom_site_fract_x
_atom_site_fract_y
_atom_site_fract_z
Ca1 Ca 0.202 0.250 0.125
La1 La 0.000 0.000 0.500
Al1 Al 0.000 0.000 0.000
```

Formation energy in eV per formula unit: 0.83
Spin magnetization in μB/cell: 0.0
Total energy in eV for the cell shown: -51.516

---

No. 5
Ti5InS8 | GGA-PBEsol | relaxed

```
data_Ti5InS8
_symmetry_space_group_name_H-M 'C 1 2/m 1'
_symmetry_Int_Tables_number 12
_symmetry_space_group_name_Hall '-C 2y'
_cell_length_a 17.385
_cell_length_b 3.335
_cell_length_c 8.788
_cell_angle_alpha 90.00
_cell_angle_beta 104.29
_cell_angle_gamma 90.00
loop_
_atom_site_label
_atom_site_type_symbol
_atom_site_fract_x
_atom_site_fract_y
_atom_site_fract_z
Ti1 Ti 0.000 0.000 0.000
Ti2 Ti 0.163 0.500 0.994
Ti3 Ti 0.208 0.500 0.353
In1 In 0.000 0.500 0.500
S1 S 0.076 0.500 0.170
S2 S 0.088 0.000 0.824
S3 S 0.159 0.000 0.501
S4 S 0.244 0.000 0.174
```

Raw formation energy in eV/atom: -1.377
Spin magnetization in μB/cell: 0.0
Total energy in eV for the cell shown: -197.880

---

No. 6
ZnInSN2 | GGA-PBEsol | relaxed

```
data_ZnInSN2
_symmetry_space_group_name_H-M 'P 4/m m m'
_symmetry_Int_Tables_number 123
_symmetry_space_group_name_Hall '-P 4 2'
_cell_length_a 3.865
_cell_length_b 3.865
_cell_length_c 5.131
_cell_angle_alpha 90.00
_cell_angle_beta 90.00
_cell_angle_gamma 90.00
loop_
_atom_site_label
_atom_site_type_symbol
_atom_site_fract_x
_atom_site_fract_y
_atom_site_fract_z
Zn1 Zn 0.000 0.000 0.000
In1 In 0.500 0.500 0.500
S1 S 0.000 0.000 0.500
N1 N 0.000 0.500 0.000
```

Raw formation energy in eV/atom: 1.147
Spin magnetization in μB/cell: 3.0
Total energy in eV for the cell shown: -20.268
Offset from the most stable computed form in eV per atom: 0.0000

---

No. 7
Al2TeBr | GGA-PBEsol | relaxed

```
data_Al2TeBr
_symmetry_space_group_name_H-M 'P 1 2/m 1'
_symmetry_Int_Tables_number 10
_symmetry_space_group_name_Hall '-P 2y'
_cell_length_a 5.318
_cell_length_b 3.784
_cell_length_c 5.960
_cell_angle_alpha 90.00
_cell_angle_beta 97.41
_cell_angle_gamma 90.00
loop_
_atom_site_label
_atom_site_type_symbol
_atom_site_fract_x
_atom_site_fract_y
_atom_site_fract_z
Al1 Al 0.131 0.000 0.326
Te1 Te 0.000 0.500 0.000
Br1 Br 0.500 0.500 0.500
```

Raw formation energy in eV/atom: -0.131
Spin magnetization in μB/cell: 0.0
Total energy in eV for the cell shown: -14.104
Offset from the most stable computed form in eV per atom: 0.0000

---

No. 8
Ta2NiRh | GGA-PBEsol | relaxed

```
data_Ta2NiRh
_symmetry_space_group_name_H-M 'P 1 2/m 1'
_symmetry_Int_Tables_number 10
_symmetry_space_group_name_Hall '-P 2y'
_cell_length_a 2.806
_cell_length_b 3.785
_cell_length_c 5.517
_cell_angle_alpha 90.00
_cell_angle_beta 90.08
_cell_angle_gamma 90.00
loop_
_atom_site_label
_atom_site_type_symbol
_atom_site_fract_x
_atom_site_fract_y
_atom_site_fract_z
Ta1 Ta 0.000 0.000 0.245
Ni1 Ni 0.500 0.500 0.000
Rh1 Rh 0.500 0.500 0.500
```

Formation energy in eV per formula unit: -1.28
Spin magnetization in μB/cell: 0.0
Total energy in eV for the cell shown: -40.674

---

Volume / Å³/atom: 19.23, 18.07, 25.86, 33.29, 17.63, 15.33, 29.73, 14.65